# 1
Material: KCu2Te2Se6
Method: DFT, PBE-GGA
State: optimized geometry

Cell: 6.4462 6.7403 9.0766 Å, 69.48 69.63 86.87°
Last column: nearest neighbours and their distance in Å.
Element x y z (fractional)
K (0.0000, 0.0000, 0.0000)  6 Se 3.32-3.55
Cu (0.4654, 0.4611, 0.8685)  4 Se 2.38-2.57
Cu (0.5346, 0.5389, 0.1315)  4 Se 2.38-2.57
Te (0.2812, 0.0305, 0.3719)  3 Se 2.55-2.70
Te (0.7188, 0.9695, 0.6281)  3 Se 2.55-2.70
Se (0.1839, 0.3631, 0.1403)  2 Cu 2.38-2.57
Se (0.2552, 0.7241, 0.2737)  1 Cu 2.39, 1 Te 2.55
Se (0.3180, 0.7864, 0.7284)  1 Cu 2.45, 1 Te 2.64
Se (0.6820, 0.2136, 0.2716)  1 Cu 2.45, 1 Te 2.64
Se (0.7448, 0.2759, 0.7263)  1 Cu 2.39, 1 Te 2.55
Se (0.8161, 0.6369, 0.8597)  2 Cu 2.38-2.57

Properties
- size of the total moment (μB per formula unit) = 0.00
- volume (Å³/atom) = 31.38
- DOS(E_F) (states/eV/cell) = 6.49
- E_tot (eV per cell) = -38.33

# 2
Material: KCu2TeSe
Method: DFT, PBE-GGA
State: optimized geometry

Cell: 4.0168 4.0168 14.9029 Å, 90.00 90.00 90.00°
Last column: nearest neighbours and their distance in Å.
Element x y z (fractional)
K (0.0000, 0.0000, 0.0000)  4 Se 3.39, 4 Te 3.74
K (0.5000, 0.5000, 0.5000)  4 Se 3.39, 4 Te 3.74
Cu (0.0000, 0.5000, 0.2783)  2 Se 2.48, 2 Te 2.64
Cu (0.0000, 0.5000, 0.7783)  2 Se 2.48, 2 Te 2.64
Cu (0.5000, 0.0000, 0.2783)  2 Se 2.48, 2 Te 2.64
Cu (0.5000, 0.0000, 0.7783)  2 Se 2.48, 2 Te 2.64
Te (0.0000, 0.0000, 0.6635)  4 Cu 2.64
Te (0.5000, 0.5000, 0.1635)  4 Cu 2.64
Se (0.0000, 0.0000, 0.3760)  4 Cu 2.48
Se (0.5000, 0.5000, 0.8760)  4 Cu 2.48

Properties
- size of the total moment (μB per formula unit) = 0.00
- volume (Å³/atom) = 24.05
- DOS(E_F) (states/eV/cell) = 7.43
- E_tot (eV per cell) = -36.63

# 3
Material: K4Th3CuSe8
Method: DFT, PBE-GGA
State: optimized geometry

Cell: 8.5642 8.5642 9.1597 Å, 118.07 118.07 59.31°
Last column: nearest neighbours and their distance in Å.
Element x y z (fractional)
K (0.0000, 0.0000, 0.0000)  6 Se 3.31-3.40
K (0.0000, 0.5000, 0.0000)  6 Se 3.28-3.37
K (0.5000, 0.0000, 0.0000)  6 Se 3.28-3.37
K (0.5000, 0.5000, 0.0000)  6 Se 3.31-3.34
Th (0.0000, 0.0000, 0.5000)  6 Se 2.93-2.98
Th (0.0000, 0.5000, 0.5000)  6 Se 2.92-2.98
Th (0.5000, 0.0000, 0.5000)  6 Se 2.92-2.98
Cu (0.5000, 0.5000, 0.5000)  6 Se 2.86-2.99
Se (0.2381, 0.2381, 0.7173)  3 Th 2.98, 3 K 3.28-3.31
Se (0.2408, 0.7288, 0.7009)  1 Cu 2.86, 2 Th 2.93-2.94
Se (0.2609, 0.2609, 0.2901)  2 Th 2.92, 1 Cu 2.99
Se (0.2712, 0.7592, 0.2991)  1 Cu 2.86, 2 Th 2.93-2.94
Se (0.7288, 0.2408, 0.7009)  1 Cu 2.86, 2 Th 2.93-2.94
Se (0.7391, 0.7391, 0.7099)  2 Th 2.92, 1 Cu 2.99
Se (0.7592, 0.2712, 0.2991)  1 Cu 2.86, 2 Th 2.93-2.94
Se (0.7619, 0.7619, 0.2827)  3 Th 2.98, 3 K 3.28-3.31

Properties
- size of the total moment (μB per formula unit) = 0.00
- volume (Å³/atom) = 30.36
- DOS(E_F) (states/eV/cell) = 6.67
- E_tot (eV per cell) = -80.67

Question: The lowest DOS(E_F) belongs to which entry?
Answer: KCu2Te2Se6

Question: The highest E_tot belongs to which entry?
Answer: KCu2TeSe

Question: Which value of volume does entry 1 give?
Answer: 31.38 Å³/atom

Question: The highest volume belongs to which entry?
Answer: KCu2Te2Se6